A plane-wave DFT calculation with PBE-GGA was carried out for crystalline Li2Zn3Ge6O16 at its relaxed geometry.

Properties
Formation energy from raw total energies ... -38.9 kcal/mol of atoms
Volume ... 578.8 Å³/cell
Fermi-level density of states ... 0.00 states/eV/f.u.
M_tot ... 0.00 μB/f.u.
Crystal system ... monoclinic

abc: 8.335 8.328 8.338
angles: 90.00 90.17 90.00
Space group P2_1 (No. 4)
One atom of each set of equivalent atoms:
1 Li 0.123 0.000 0.124
2 Li 0.248 0.628 0.001
3 Zn 0.002 0.873 0.754
4 Zn 0.253 0.124 0.496
5 Zn 0.497 0.877 0.251
6 Ge 0.122 0.255 0.876
7 Ge 0.127 0.753 0.374
8 Ge 0.131 0.506 0.630
9 Ge 0.374 0.994 0.873
10 Ge 0.379 0.501 0.376
11 Ge 0.382 0.252 0.127
12 O 0.098 0.745 0.146
13 O 0.106 0.976 0.380
14 O 0.111 0.726 0.603
15 O 0.115 0.263 0.636
16 O 0.132 0.483 0.850
17 O 0.135 0.513 0.388
18 O 0.144 0.255 0.099
19 O 0.150 0.019 0.870
20 O 0.348 0.730 0.362
21 O 0.356 0.487 0.597
22 O 0.360 0.272 0.348
23 O 0.361 0.238 0.887
24 O 0.378 0.027 0.108
25 O 0.388 0.489 0.138
26 O 0.395 0.776 0.893
27 O 0.400 0.015 0.645